Here is crystalline CuHg2As at its relaxed geometry from Alexandria. Energies are from GGA-PBE.

The calculation puts the volume at 21.00 A^3/atom. The formation energy from the elements is 0.186 eV per atom. The value obtained for the calculated density is 10669 kg/m3.

It has space group Imm2 (No. 44), with a = 2.892 Å, b = 4.800 Å, c = 12.103 Å, α = 90.00°, β = 90.00° and γ = 90.00°. Symmetry generates all atoms from Cu at (0.000, 0.000, 0.000), Hg at (0.000, 0.000, 0.523), Hg at (0.000, 0.500, 0.707) and As at (0.000, 0.500, 0.330).